[1]
Compound: CsTcNi2Au
Source: the Alexandria database
Functional: PBE
Structure: optimized geometry

* calculated density: 7.68 g cm⁻³
* N(E_F): 1.21 states/eV per atom
* magnetization: 0.00 μB/atom
* symmetry: P4/mmm
* raw total energy: -4.248 eV per atom

abc: 4.6790 5.3840 4.6790
angles: 90.00 90.00 90.00
Sites, in units of the cell vectors:
Cs  0.5000  0.5000  0.5000
Ni  0.0000  0.0000  0.5000
Ni  0.5000  0.0000  0.0000
Au  0.0000  0.5000  0.0000
Tc  0.0000  0.0000  0.0000



[2]
Compound: CsNiTe2Au
Source: the Alexandria database
Functional: PBE
Structure: optimized geometry

* calculated density: 6.37 g cm⁻³
* N(E_F): 0.39 states/eV per atom
* formation energy from raw total energies: -0.42 eV per atom
* magnetization: 0.00 μB/atom
* symmetry: Cmme
* raw total energy: -3.660 eV per atom

abc: 7.9863 6.4269 7.2829
angles: 116.18 90.00 90.00
Sites, in units of the cell vectors:
Cs  0.2569  0.7500  0.5000
Cs  0.7431  0.2500  0.5000
Ni  0.5000  0.7500  0.0000
Ni  0.5000  0.2500  0.0000
Te  0.6973  0.9164  0.8328
Te  0.6973  0.5836  0.1672
Te  0.3027  0.4164  0.8328
Te  0.3027  0.0836  0.1672
Au  0.0000  0.0000  0.0000
Au  0.0000  0.5000  0.0000



[3]
Compound: CsTl2NiAu
Source: the Alexandria database
Functional: PBE
Structure: optimized geometry

* calculated density: 9.15 g cm⁻³
* N(E_F): 0.44 states/eV per atom
* magnetization: 0.00 μB/atom
* symmetry: P4/mmm
* raw total energy: -2.915 eV per atom

abc: 5.1570 5.1570 5.4427
angles: 90.00 90.00 90.00
Sites, in units of the cell vectors:
Cs  0.5000  0.5000  0.5000
Ni  0.0000  0.0000  0.0000
Tl  0.0000  0.5000  0.0000
Tl  0.5000  0.0000  0.0000
Au  0.0000  0.0000  0.5000



[4]
Compound: CsTlNiAu2
Source: the Alexandria database
Functional: PBE
Structure: optimized geometry

* calculated density: 9.18 g cm⁻³
* N(E_F): 0.54 states/eV per atom
* magnetization: 0.00 μB/atom
* symmetry: P4/mmm
* raw total energy: -2.747 eV per atom

abc: 5.1283 5.4360 5.1283
angles: 90.00 90.00 90.00
Sites, in units of the cell vectors:
Cs  0.0000  0.5000  0.0000
Ni  0.0000  0.0000  0.0000
Tl  0.5000  0.5000  0.5000
Au  0.0000  0.0000  0.5000
Au  0.5000  0.0000  0.0000



[5]
Compound: Cs2NpAuO6
Source: the Alexandria database
Functional: PBE
Structure: optimized geometry

* calculated density: 6.91 g cm⁻³
* formation energy from raw total energies: -1.76 eV per atom
* magnetization: 0.00 μB/atom
* symmetry: I4/mmm
* raw total energy: -6.531 eV per atom

abc: 5.8288 5.8288 6.9795
angles: 65.32 65.32 90.00
Sites, in units of the cell vectors:
Cs  0.7500  0.2500  0.5000
Cs  0.2500  0.7500  0.5000
Np  0.0000  0.0000  0.0000
Au  0.5000  0.5000  0.0000
O  0.1674  0.1674  0.6650
O  0.7444  0.7443  0.0002
O  0.2556  0.7445  0.0000
O  0.7444  0.2555  0.0000
O  0.2556  0.2557  0.9998
O  0.8326  0.8326  0.3350



[6]
Compound: CsNp2Au2S6
Source: the Alexandria database
Functional: PBE
Structure: optimized geometry

* calculated density: 6.19 g cm⁻³
* N(E_F): 1.41 states/eV per atom
* formation energy from raw total energies: -0.82 eV per atom
* magnetization: 0.45 μB/atom
* symmetry: P-1
* raw total energy: -6.098 eV per atom

abc: 7.2582 7.9994 7.9669
angles: 124.20 89.25 63.56
Sites, in units of the cell vectors:
Cs  0.5000  0.0000  0.5000
Np  0.8319  0.3391  0.8383
Np  0.1681  0.6609  0.1617
Au  0.2020  0.7359  0.7919
Au  0.7980  0.2641  0.2082
S  0.4284  0.7355  0.0106
S  0.0008  0.4190  0.1471
S  0.1359  0.8551  0.5767
S  0.9992  0.5810  0.8529
S  0.8641  0.1449  0.4233
S  0.5716  0.2645  0.9894



[7]
Compound: CsNpAu2S4
Source: the Alexandria database
Functional: PBE
Structure: optimized geometry

* calculated density: 5.80 g cm⁻³
* N(E_F): 1.03 states/eV per atom
* formation energy from raw total energies: -0.61 eV per atom
* magnetization: 0.25 μB/atom
* symmetry: I222
* raw total energy: -5.221 eV per atom

abc: 5.7141 7.2876 7.2876
angles: 76.11 66.92 66.92
Sites, in units of the cell vectors:
Cs  0.0000  0.0000  0.0000
Np  0.5000  0.5000  0.5000
Au  0.1547  0.3453  0.3453
Au  0.8453  0.6547  0.6547
S  0.4727  0.1582  0.5046
S  0.1355  0.8418  0.4954
S  0.8645  0.5046  0.1582
S  0.5273  0.4954  0.8418



[8]
Compound: CsNpAuS2
Source: the Alexandria database
Functional: PBE
Structure: optimized geometry

* calculated density: 6.55 g cm⁻³
* N(E_F): 2.02 states/eV per atom
* formation energy from raw total energies: -0.81 eV per atom
* magnetization: 0.97 μB/atom
* symmetry: P2/c
* raw total energy: -5.872 eV per atom

abc: 5.4102 8.0706 7.5474
angles: 103.94 90.00 90.00
Sites, in units of the cell vectors:
Cs  0.1890  0.5000  0.7500
Cs  0.8110  0.5000  0.2500
Np  0.4922  0.0000  0.2500
Np  0.5078  0.0000  0.7500
Au  0.0000  0.0000  0.0000
Au  0.0000  0.0000  0.5000
S  0.6900  0.7799  0.9471
S  0.6900  0.2201  0.5529
S  0.3100  0.7799  0.4471
S  0.3100  0.2201  0.0529



[9]
Compound: CsNp4Au3Se12
Source: the Alexandria database
Functional: PBE
Structure: optimized geometry

* calculated density: 7.69 g cm⁻³
* N(E_F): 2.25 states/eV per atom
* formation energy from raw total energies: -0.64 eV per atom
* magnetization: 0.68 μB/atom
* symmetry: Im-3
* raw total energy: -5.849 eV per atom

abc: 9.0229 9.0229 9.0229
angles: 109.47 109.47 109.47
Sites, in units of the cell vectors:
Cs  0.0000  0.0000  0.0000
Np  0.5000  0.0000  0.0000
Np  0.5000  0.5000  0.5000
Np  0.0000  0.5000  0.0000
Np  0.0000  0.0000  0.5000
Au  0.0000  0.5000  0.5000
Au  0.5000  0.5000  0.0000
Au  0.5000  0.0000  0.5000
Se  0.3197  0.8305  0.1502
Se  0.6803  0.1695  0.8498
Se  0.6803  0.8305  0.5108
Se  0.8498  0.6803  0.1695
Se  0.8305  0.1502  0.3197
Se  0.1695  0.4892  0.3197
Se  0.4892  0.3197  0.1695
Se  0.1695  0.8498  0.6803
Se  0.3197  0.1695  0.4892
Se  0.1502  0.3197  0.8305
Se  0.8305  0.5108  0.6803
Se  0.5108  0.6803  0.8305



[10]
Compound: CsNp2AuSe4
Source: the Alexandria database
Functional: PBE
Structure: optimized geometry

* calculated density: 8.00 g cm⁻³
* N(E_F): 2.63 states/eV per atom
* formation energy from raw total energies: -0.97 eV per atom
* magnetization: 1.00 μB/atom
* symmetry: Cmcm
* raw total energy: -6.464 eV per atom

abc: 4.2891 7.6474 14.7601
angles: 90.00 90.00 106.29
Sites, in units of the cell vectors:
Cs  0.1177  0.2354  0.7500
Cs  0.8823  0.7646  0.2500
Np  0.3704  0.7408  0.5635
Np  0.6296  0.2592  0.0635
Np  0.6296  0.2592  0.4365
Np  0.3704  0.7408  0.9365
Au  0.8403  0.6805  0.7500
Au  0.1597  0.3195  0.2500
Se  0.2579  0.5159  0.0995
Se  0.7421  0.4841  0.5995
Se  0.7421  0.4841  0.9005
Se  0.2579  0.5159  0.4005
Se  0.0000  0.0000  0.5000
Se  0.0000  0.0000  0.0000
Se  0.4383  0.8766  0.7500
Se  0.5617  0.1234  0.2500



[11]
Compound: Cs2NpAu2Se6
Source: the Alexandria database
Functional: PBE
Structure: optimized geometry

* calculated density: 5.97 g cm⁻³
* N(E_F): 0.68 states/eV per atom
* formation energy from raw total energies: -0.60 eV per atom
* magnetization: 0.08 μB/atom
* symmetry: R-3m
* raw total energy: -4.429 eV per atom

abc: 7.8673 7.8673 8.4423
angles: 62.23 62.23 60.00
Sites, in units of the cell vectors:
Cs  0.7659  0.7659  0.7023
Cs  0.2341  0.2341  0.2977
Np  0.0000  0.0000  0.0000
Au  0.4090  0.4090  0.7730
Au  0.5910  0.5910  0.2270
Se  0.7678  0.7678  0.2419
Se  0.2226  0.7678  0.2419
Se  0.7678  0.2226  0.2419
Se  0.2322  0.7774  0.7581
Se  0.7774  0.2322  0.7581
Se  0.2322  0.2322  0.7581



[12]
Compound: CsNp2Au2Se6
Source: the Alexandria database
Functional: PBE
Structure: optimized geometry

* calculated density: 6.89 g cm⁻³
* N(E_F): 1.58 states/eV per atom
* formation energy from raw total energies: -0.56 eV per atom
* magnetization: 0.01 μB/atom
* symmetry: P-1
* raw total energy: -5.492 eV per atom

abc: 7.6106 8.2207 8.3046
angles: 123.58 89.85 61.70
Sites, in units of the cell vectors:
Cs  0.5000  0.0000  0.5000
Np  0.8343  0.3364  0.8408
Np  0.1657  0.6636  0.1592
Au  0.2047  0.7319  0.7980
Au  0.7953  0.2681  0.2020
Se  0.4183  0.7604  0.0325
Se  0.0132  0.4098  0.1457
Se  0.1578  0.8406  0.5662
Se  0.9868  0.5902  0.8543
Se  0.8422  0.1594  0.4338
Se  0.5817  0.2396  0.9675



[13]
Compound: Cs2NpTe4Au2
Source: the Alexandria database
Functional: PBE
Structure: optimized geometry

* calculated density: 6.70 g cm⁻³
* N(E_F): 1.20 states/eV per atom
* formation energy from raw total energies: -0.69 eV per atom
* magnetization: 0.33 μB/atom
* symmetry: C2/m
* raw total energy: -4.447 eV per atom

abc: 4.6584 8.3742 10.2379
angles: 115.49 103.15 90.00
Sites, in units of the cell vectors:
Cs  0.1461  0.6675  0.2922
Cs  0.8539  0.3325  0.7078
Np  0.0000  0.0000  0.0000
Te  0.1785  0.2120  0.3570
Te  0.8215  0.7880  0.6430
Te  0.4907  0.7413  0.9813
Te  0.5093  0.2587  0.0187
Au  0.6254  0.0384  0.2508
Au  0.3746  0.9616  0.7492



[14]
Compound: Cs3Np3Te8Au
Source: the Alexandria database
Functional: PBE
Structure: optimized geometry

* calculated density: 6.14 g cm⁻³
* N(E_F): 1.70 states/eV per atom
* formation energy from raw total energies: -0.71 eV per atom
* magnetization: 0.74 μB/atom
* symmetry: C2/m
* raw total energy: -5.359 eV per atom

abc: 8.6906 9.1691 10.5715
angles: 117.73 90.00 118.29
Sites, in units of the cell vectors:
Cs  0.0000  0.0000  0.0000
Cs  0.0000  0.5000  0.0000
Cs  0.5000  0.5000  0.0000
Np  0.5000  0.0000  0.5000
Np  0.5000  0.5000  0.5000
Np  0.0000  0.5000  0.5000
Te  0.2718  0.5435  0.3076
Te  0.7282  0.4565  0.6924
Te  0.7009  0.4017  0.2681
Te  0.2991  0.5983  0.7319
Te  0.8004  0.0431  0.3323
Te  0.1996  0.9569  0.6677
Te  0.2427  0.0431  0.3323
Te  0.7573  0.9569  0.6677
Au  0.0000  0.0000  0.5000



[15]
Compound: CsNp4Te12Au3
Source: the Alexandria database
Functional: PBE
Structure: optimized geometry

* calculated density: 7.57 g cm⁻³
* N(E_F): 2.23 states/eV per atom
* formation energy from raw total energies: -0.34 eV per atom
* magnetization: 0.70 μB/atom
* symmetry: Im-3
* raw total energy: -5.345 eV per atom

abc: 9.6995 9.6995 9.6995
angles: 109.47 109.47 109.47
Sites, in units of the cell vectors:
Cs  0.0000  0.0000  0.0000
Np  0.5000  0.0000  0.0000
Np  0.5000  0.5000  0.5000
Np  0.0000  0.5000  0.0000
Np  0.0000  0.0000  0.5000
Te  0.3217  0.8321  0.1537
Te  0.6783  0.1679  0.8463
Te  0.6783  0.8321  0.5104
Te  0.8463  0.6783  0.1679
Te  0.8321  0.1537  0.3217
Te  0.1679  0.4896  0.3217
Te  0.4896  0.3217  0.1679
Te  0.1679  0.8463  0.6783
Te  0.3217  0.1679  0.4896
Te  0.1537  0.3217  0.8321
Te  0.8321  0.5104  0.6783
Te  0.5104  0.6783  0.8321
Au  0.0000  0.5000  0.5000
Au  0.5000  0.5000  0.0000
Au  0.5000  0.0000  0.5000



[16]
Compound: Cs4Np3Te8Au
Source: the Alexandria database
Functional: PBE
Structure: optimized geometry

* calculated density: 6.32 g cm⁻³
* N(E_F): 1.64 states/eV per atom
* formation energy from raw total energies: -0.74 eV per atom
* magnetization: 0.64 μB/atom
* symmetry: C2/m
* raw total energy: -5.152 eV per atom

abc: 8.9554 10.3545 9.3174
angles: 117.16 118.72 90.00
Sites, in units of the cell vectors:
Cs  0.5000  0.0000  0.0000
Cs  0.5000  0.0000  0.5000
Cs  0.0000  0.0000  0.0000
Cs  0.0000  0.0000  0.5000
Np  0.5000  0.5000  0.0000
Np  0.5000  0.5000  0.5000
Np  0.0000  0.5000  0.5000
Te  0.2113  0.6743  0.9513
Te  0.2477  0.6987  0.4953
Te  0.2727  0.3095  0.5454
Te  0.7400  0.6743  0.9513
Te  0.2600  0.3257  0.0487
Te  0.7273  0.6905  0.4546
Te  0.7523  0.3013  0.5047
Te  0.7887  0.3257  0.0487
Au  0.0000  0.5000  0.0000



[17]
Compound: Cs2NpTe6Au2
Source: the Alexandria database
Functional: PBE
Structure: optimized geometry

* calculated density: 5.92 g cm⁻³
* N(E_F): 1.07 states/eV per atom
* formation energy from raw total energies: -0.43 eV per atom
* magnetization: 0.17 μB/atom
* symmetry: C2/m
* raw total energy: -4.072 eV per atom

abc: 6.5929 8.4279 10.4123
angles: 116.37 90.00 113.03
Sites, in units of the cell vectors:
Cs  0.6903  0.3806  0.1885
Cs  0.3097  0.6194  0.8115
Np  0.5000  0.0000  0.5000
Te  0.7069  0.4138  0.5840
Te  0.1954  0.8894  0.2226
Te  0.3060  0.1106  0.7774
Te  0.8046  0.1106  0.7774
Te  0.6940  0.8894  0.2226
Te  0.2931  0.5862  0.4160
Au  0.8968  0.7936  0.6816
Au  0.1032  0.2064  0.3184



[18]
Compound: Cs2AuO2
Source: the Alexandria database
Functional: PBE
Structure: optimized geometry

* calculated density: 7.16 g cm⁻³
* N(E_F): 0.49 states/eV per atom
* formation energy from raw total energies: -0.27 eV per atom
* magnetization: 0.08 μB/atom
* symmetry: P4/mbm
* raw total energy: -3.251 eV per atom

abc: 6.8379 6.8379 4.9098
angles: 90.00 90.00 90.00
Sites, in units of the cell vectors:
Cs  0.1685  0.6685  0.5000
Cs  0.6685  0.8315  0.5000
Cs  0.8315  0.3315  0.5000
Cs  0.3315  0.1685  0.5000
Au  0.0000  0.0000  0.0000
Au  0.5000  0.5000  0.0000
O  0.3128  0.8128  0.0000
O  0.8128  0.6872  0.0000
O  0.6872  0.1872  0.0000
O  0.1872  0.3128  0.0000



[19]
Compound: Cs7Au4O
Source: the Alexandria database
Functional: PBE
Structure: optimized geometry

* calculated density: 4.97 g cm⁻³
* N(E_F): 0.43 states/eV per atom
* formation energy from raw total energies: -0.46 eV per atom
* magnetization: 0.00 μB/atom
* symmetry: C2/m
* raw total energy: -2.463 eV per atom

abc: 5.9808 9.7940 11.1771
angles: 71.26 74.48 72.22
Sites, in units of the cell vectors:
Cs  0.8368  0.3021  0.0243
Cs  0.1632  0.6979  0.9757
Cs  0.0717  0.1208  0.7358
Cs  0.9283  0.8792  0.2642
Cs  0.3572  0.7324  0.5531
Cs  0.5000  0.0000  0.0000
Cs  0.6428  0.2676  0.4469
Au  0.5704  0.6314  0.2278
Au  0.4296  0.3686  0.7722
Au  0.7160  0.8811  0.6870
Au  0.2841  0.1189  0.3130
O  0.0000  0.0000  0.0000



[20]
Compound: CsAu3O
Source: the Alexandria database
Functional: PBE
Structure: optimized geometry

* calculated density: 4.38 g cm⁻³
* N(E_F): 2.44 states/eV per atom
* formation energy from raw total energies: 1.68 eV per atom
* magnetization: 0.03 μB/atom
* symmetry: Pm-3m
* raw total energy: -1.453 eV per atom

abc: 6.5461 6.5461 6.5461
angles: 90.00 90.00 90.00
Sites, in units of the cell vectors:
Cs  0.0000  0.0000  0.0000
Au  0.0000  0.5000  0.0000
Au  0.0000  0.0000  0.5000
Au  0.5000  0.0000  0.0000
O  0.5000  0.5000  0.5000